Computed, not measured: a PBEsol-optimized structure of ZrIrCl3 at the meta-GGA SCAN level of DFT.

Properties
Space-group type: No. 221
Calculated total energy: -24.93 eV/atom
M_tot: 2.34 μB/cell
Formation energy without anion corrections: 220 meV per atom

Lattice parameters (Å, degrees): 4.711 4.711 4.711 90.00 90.00 90.00
Element x y z (fractional)
Zr1 0.000 0.000 0.000
Ir1 0.500 0.500 0.500
Cl1 0.000 0.500 0.500
Cl2 0.500 0.000 0.500
Cl3 0.500 0.500 0.000